A plane-wave DFT calculation with GGA+U was carried out for a geometry-optimized KVTc2F structure.

The space group is P4/mmm (No. 123) and the conventional cell measures 4.703, 4.703 and 4.924 Å, with angles of 90.00, 90.00 and 90.00 degrees. Symmetry generates all atoms from K at (0.000, 0.000, 0.000), V at (0.500, 0.500, 0.500), Tc at (0.000, 0.500, 0.500) and F at (0.500, 0.500, 0.000).

The value obtained for the density of states at the Fermi level is 0.635 states/eV/atom. The raw total energy comes out at -26.5 eV/cell. Its calculated volume is 21.8 Å³ per atom.